## CaNiSe2 (PBE)

Data for crystalline CaNiSe2 at its relaxed geometry.

a b c (Å): 4.076 4.247 5.884
angles (deg): 90.00 109.98 90.00
Fractional positions:
Ca: 0.000 0.000 0.000
Ni: 0.653 0.500 0.317
Se: 0.451 0.500 0.900
Se: 0.713 0.000 0.438

Summary:
The formation energy without anion corrections comes out at -0.873 eV per atom. Its symmetry is Pm, No. 6. Its mass density is 4.45 g/cm³. Its total energy is -4.561 eV/atom.